[1]
{
  "formula": "PmSc3Ag4",
  "functional": "PBE",
  "state": "optimized geometry",
  "spacegroup": "P4/mmm, No. 123",
  "formation_enthalpy_0k_ev_per_atom": -0.248,
  "lattice_angstrom": [[4.9559, 0.0000, 0.0000], [0.0000, 4.9559, 0.0000], [0.0000, 0.0000, 7.0749]],
  "species": ["Pm", "Sc", "Sc", "Sc", "Ag", "Ag", "Ag", "Ag"],
  "frac_coords": [[0.0000, 0.0000, 0.0000], [0.0000, 0.0000, 0.5000], [0.5000, 0.5000, 0.0000], [0.5000, 0.5000, 0.5000], [0.0000, 0.5000, 0.2712], [0.0000, 0.5000, 0.7288], [0.5000, 0.0000, 0.2712], [0.5000, 0.0000, 0.7288]]
}

=====

[2]
{
  "formula": "Li2SiSb",
  "functional": "PBE",
  "state": "optimized geometry",
  "spacegroup": "Fm-3m, No. 225",
  "polymorph_energy_mev_per_atom": 82,
  "lattice_angstrom": [[6.5922, 0.0000, 0.0000], [0.0000, 6.5922, 0.0000], [0.0000, 0.0000, 6.5922]],
  "species": ["Li", "Li", "Li", "Li", "Li", "Li", "Li", "Li", "Si", "Si", "Si", "Si", "Sb", "Sb", "Sb", "Sb"],
  "frac_coords": [[0.2500, 0.2500, 0.2500], [0.2500, 0.2500, 0.7500], [0.2500, 0.7500, 0.2500], [0.2500, 0.7500, 0.7500], [0.7500, 0.2500, 0.2500], [0.7500, 0.2500, 0.7500], [0.7500, 0.7500, 0.2500], [0.7500, 0.7500, 0.7500], [0.0000, 0.0000, 0.0000], [0.0000, 0.5000, 0.5000], [0.5000, 0.0000, 0.5000], [0.5000, 0.5000, 0.0000], [0.0000, 0.0000, 0.5000], [0.0000, 0.5000, 0.0000], [0.5000, 0.0000, 0.0000], [0.5000, 0.5000, 0.5000]]
}

=====

[3]
{
  "formula": "CSeS3",
  "functional": "PBE",
  "state": "optimized geometry",
  "spacegroup": "Pm-3m, No. 221",
  "polymorph_energy_mev_per_atom": 0,
  "lattice_angstrom": [[4.1762, 0.0000, 0.0000], [0.0000, 4.1762, 0.0000], [0.0000, 0.0000, 4.1762]],
  "species": ["C", "Se", "S", "S", "S"],
  "frac_coords": [[0.0000, 0.0000, 0.0000], [0.5000, 0.5000, 0.5000], [0.0000, 0.0000, 0.5000], [0.0000, 0.5000, 0.0000], [0.5000, 0.0000, 0.0000]]
}

=====

[4]
{
  "formula": "LiI2N2",
  "functional": "PBE",
  "state": "optimized geometry",
  "spacegroup": "C2/m, No. 12",
  "polymorph_energy_mev_per_atom": 0,
  "lattice_angstrom": [[6.3509, 0.0000, 0.0000], [0.0000, 3.9160, 0.0000], [-0.3136, 0.0000, 13.3462]],
  "species": ["Li", "Li", "I", "I", "I", "I", "N", "N", "N", "N"],
  "frac_coords": [[0.0000, 0.0000, 0.0000], [0.5000, 0.5000, 0.0000], [0.1512, 0.5000, 0.8562], [0.3488, 0.0000, 0.1438], [0.6512, 0.0000, 0.8562], [0.8488, 0.5000, 0.1438], [0.0060, 0.5000, 0.5417], [0.4940, 0.0000, 0.4583], [0.5060, 0.0000, 0.5417], [0.9940, 0.5000, 0.4583]]
}

=====

[5]
{
  "formula": "Tm2NbZn",
  "functional": "PBE",
  "state": "optimized geometry",
  "spacegroup": "R-3m, No. 166",
  "polymorph_energy_mev_per_atom": 458,
  "formation_enthalpy_0k_ev_per_atom": 0.445,
  "lattice_angstrom": [[3.1614, 0.0000, 0.0000], [-1.5807, 2.7379, 0.0000], [0.0000, 0.0000, 32.4017]],
  "species": ["Tm", "Tm", "Tm", "Tm", "Tm", "Tm", "Nb", "Nb", "Nb", "Zn", "Zn", "Zn"],
  "frac_coords": [[0.0000, 0.0000, 0.0919], [0.0000, 0.0000, 0.9081], [0.3333, 0.6667, 0.5747], [0.3333, 0.6667, 0.7586], [0.6667, 0.3333, 0.2414], [0.6667, 0.3333, 0.4253], [0.0000, 0.0000, 0.0000], [0.3333, 0.6667, 0.6667], [0.6667, 0.3333, 0.3333], [0.0000, 0.0000, 0.5000], [0.3333, 0.6667, 0.1667], [0.6667, 0.3333, 0.8333]]
}

=====

[6]
{
  "formula": "Ce9SmO20",
  "functional": "PBE",
  "state": "optimized geometry",
  "spacegroup": "P-1, No. 2",
  "lattice_angstrom": [[6.7023, 0.0000, 0.0000], [-2.2320, 7.4080, 0.0000], [-1.1186, -2.3579, 8.2486]],
  "species": ["Ce", "Ce", "Ce", "Ce", "Ce", "Ce", "Ce", "Ce", "Ce", "Sm", "O", "O", "O", "O", "O", "O", "O", "O", "O", "O", "O", "O", "O", "O", "O", "O", "O", "O", "O", "O"],
  "frac_coords": [[0.0000, 0.0000, 0.0000], [0.2003, 0.4001, 0.3991], [0.1998, 0.8995, 0.3992], [0.3980, 0.7993, 0.8002], [0.3999, 0.3004, 0.8006], [0.6001, 0.6996, 0.1994], [0.6020, 0.2007, 0.1998], [0.8002, 0.1005, 0.6008], [0.7997, 0.5999, 0.6009], [0.0000, 0.5000, 0.0000], [0.0496, 0.7298, 0.8467], [0.0509, 0.2186, 0.8461], [0.1482, 0.6740, 0.5489], [0.1500, 0.1747, 0.5479], [0.2540, 0.1256, 0.2498], [0.2563, 0.6281, 0.2549], [0.3517, 0.0749, 0.9506], [0.3564, 0.5768, 0.9481], [0.4477, 0.0232, 0.6492], [0.4478, 0.5250, 0.6485], [0.5522, 0.4750, 0.3515], [0.5523, 0.9768, 0.3508], [0.6436, 0.4232, 0.0519], [0.6483, 0.9251, 0.0494], [0.7437, 0.3719, 0.7451], [0.7460, 0.8744, 0.7502], [0.8500, 0.8253, 0.4521], [0.8518, 0.3260, 0.4511], [0.9491, 0.7814, 0.1539], [0.9504, 0.2702, 0.1533]]
}

=====

[7]
{
  "formula": "NbBi2Pt",
  "functional": "PBE",
  "state": "optimized geometry",
  "spacegroup": "R-3m, No. 166",
  "polymorph_energy_mev_per_atom": 254,
  "formation_enthalpy_0k_ev_per_atom": 0.542,
  "lattice_angstrom": [[3.3882, 0.0000, 0.0000], [-1.6941, 2.9343, 0.0000], [0.0000, 0.0000, 29.5890]],
  "species": ["Nb", "Nb", "Nb", "Bi", "Bi", "Bi", "Bi", "Bi", "Bi", "Pt", "Pt", "Pt"],
  "frac_coords": [[0.0000, 0.0000, 0.0000], [0.3333, 0.6667, 0.6667], [0.6667, 0.3333, 0.3333], [0.0000, 0.0000, 0.0971], [0.0000, 0.0000, 0.9029], [0.3333, 0.6667, 0.5696], [0.3333, 0.6667, 0.7638], [0.6667, 0.3333, 0.2362], [0.6667, 0.3333, 0.4304], [0.0000, 0.0000, 0.5000], [0.3333, 0.6667, 0.1667], [0.6667, 0.3333, 0.8333]]
}

=====

[8]
{
  "formula": "HgBi2H2Pd7",
  "functional": "PBE",
  "state": "optimized geometry",
  "spacegroup": "C2/m, No. 12",
  "lattice_angstrom": [[2.9031, -2.8997, 0.0000], [2.9031, 2.8997, 0.0000], [-2.8509, 0.0000, 11.2394]],
  "species": ["Hg", "Bi", "Bi", "H", "H", "Pd", "Pd", "Pd", "Pd", "Pd", "Pd", "Pd"],
  "frac_coords": [[0.0000, 0.0000, 0.0000], [0.1901, 0.1901, 0.3838], [0.8099, 0.8099, 0.6162], [0.4144, 0.4144, 0.8306], [0.5856, 0.5856, 0.1694], [0.0909, 0.5913, 0.1847], [0.3210, 0.3210, 0.6379], [0.4087, 0.9091, 0.8153], [0.5000, 0.5000, 0.0000], [0.5913, 0.0909, 0.1847], [0.6790, 0.6790, 0.3621], [0.9091, 0.4087, 0.8153]]
}

=====

[9]
{
  "formula": "Ni3PdN",
  "functional": "PBE",
  "state": "optimized geometry",
  "spacegroup": "C2/c, No. 15",
  "lattice_angstrom": [[5.8769, -3.8815, 0.0000], [5.8769, 3.8815, 0.0000], [-1.1185, 0.0000, 5.1216]],
  "species": ["Ni", "Ni", "Ni", "Ni", "Ni", "Ni", "Ni", "Ni", "Ni", "Ni", "Ni", "Ni", "Pd", "Pd", "Pd", "Pd", "N", "N", "N", "N"],
  "frac_coords": [[0.0026, 0.3332, 0.5862], [0.0040, 0.6682, 0.9207], [0.3308, 0.3354, 0.4278], [0.3318, 0.9960, 0.5793], [0.3332, 0.0026, 0.0862], [0.3354, 0.3308, 0.9278], [0.6646, 0.6692, 0.0722], [0.6668, 0.9974, 0.9138], [0.6682, 0.0040, 0.4207], [0.6692, 0.6646, 0.5722], [0.9960, 0.3318, 0.0793], [0.9974, 0.6668, 0.4138], [0.0076, 0.9924, 0.7500], [0.3425, 0.6575, 0.2500], [0.6575, 0.3425, 0.7500], [0.9924, 0.0076, 0.2500], [0.1663, 0.4973, 0.6817], [0.4973, 0.1663, 0.1817], [0.5027, 0.8337, 0.8183], [0.8337, 0.5027, 0.3183]]
}

=====

[10]
{
  "formula": "ZrMo2Pb",
  "functional": "PBE",
  "state": "optimized geometry",
  "spacegroup": "P4/mmm, No. 123",
  "formation_enthalpy_0k_ev_per_atom": 0.299,
  "lattice_angstrom": [[4.2445, 0.0000, 0.0000], [0.0000, 4.2445, 0.0000], [0.0000, 0.0000, 4.2112]],
  "species": ["Zr", "Mo", "Mo", "Pb"],
  "frac_coords": [[0.0000, 0.0000, 0.0000], [0.0000, 0.5000, 0.5000], [0.5000, 0.0000, 0.5000], [0.5000, 0.5000, 0.0000]]
}

=====

[11]
{
  "formula": "Na3Ni2Se4",
  "functional": "PBE",
  "state": "optimized geometry",
  "spacegroup": "C2/m, No. 12",
  "lattice_angstrom": [[6.7130, -1.7865, 0.0000], [6.7130, 1.7865, 0.0000], [-1.5376, 0.0000, 8.1747]],
  "species": ["Na", "Na", "Na", "Ni", "Ni", "Se", "Se", "Se", "Se"],
  "frac_coords": [[0.0000, 0.0000, 0.0000], [0.3957, 0.3957, 0.5786], [0.6043, 0.6043, 0.4214], [0.2963, 0.2963, 0.1771], [0.7037, 0.7037, 0.8229], [0.0933, 0.0933, 0.7037], [0.3203, 0.3203, 0.8801], [0.6797, 0.6797, 0.1199], [0.9067, 0.9067, 0.2963]]
}

=====

[12]
{
  "formula": "NdHfSc",
  "functional": "PBE",
  "state": "optimized geometry",
  "spacegroup": "I4mm, No. 107",
  "polymorph_energy_mev_per_atom": 0,
  "formation_enthalpy_0k_ev_per_atom": 0.120,
  "lattice_angstrom": [[3.2732, 0.0000, 0.0000], [0.0000, 3.2732, 0.0000], [0.0000, 0.0000, 14.9392]],
  "species": ["Nd", "Nd", "Hf", "Hf", "Sc", "Sc"],
  "frac_coords": [[0.0000, 0.0000, 0.0000], [0.5000, 0.5000, 0.5000], [0.0000, 0.0000, 0.3279], [0.5000, 0.5000, 0.8279], [0.0000, 0.0000, 0.6865], [0.5000, 0.5000, 0.1865]]
}

=====

In the order shown, the computed electronic total energy values come out to -0.17058, -0.12793, -0.13493, -0.17241, -0.17002, -0.31682, -0.19941, -0.16435, -0.22154, -0.30065, -0.14220, -0.25347 hartree per atom.